# 1
Density functional theory data (PBE) for a relaxed La2Cu3 crystal.

Cell: 3.874 4.401 13.417 Å, 90.00 98.30 90.00°
Atoms (fractional coordinates):
La: 0.298 0.750 0.595
La: 0.431 0.250 0.861
La: 0.702 0.250 0.405
La: 0.569 0.750 0.139
Cu: 0.023 0.250 0.046
Cu: 0.884 0.750 0.767
Cu: 0.166 0.750 0.332
Cu: 0.977 0.750 0.954
Cu: 0.116 0.250 0.233
Cu: 0.834 0.250 0.668

As for the space-group type: Cmcm. The density of states at the Fermi level comes out at 4.83 states/eV/f.u. The calculated total energy is -4.627 eV/atom.



# 2
Density functional theory data (PBE) for a relaxed CeTl2Se3 crystal.

Cell: 7.574 7.574 7.983 Å, 98.97 98.97 119.34°
Site moments in Bohr magnetons follow the coordinates.
Atoms (fractional coordinates):
Se: 0.637 0.970 0.797  -0.01
Se: 0.886 0.593 0.783  -0.01
Se: 0.030 0.363 0.203  -0.01
Se: 0.260 0.220 0.783  -0.01
Se: 0.407 0.114 0.217  -0.01
Se: 0.780 0.740 0.217  -0.01
Ce: 0.002 0.998 0.000  0.19
Ce: 0.665 0.335 0.000  0.19
Tl: 0.333 0.667 0.000  0.00
Tl: 0.489 0.511 0.500  0.00
Tl: 0.178 0.822 0.500  0.00
Tl: 0.833 0.167 0.500  0.00

As for the space-group type: C2/m. For the offset from the most stable computed form, the calculation gives 0 meV per atom. The formation energy without anion corrections is -1054 meV/atom.



# 3
Density functional theory data (PBE) for a relaxed BaTl8Pb6 crystal.

Cell: 9.693 9.693 8.357 Å, 54.56 54.56 60.00°
Atoms (fractional coordinates):
Pb: 0.835 0.430 0.075
Pb: 0.165 0.570 0.925
Pb: 0.570 0.340 0.925
Pb: 0.430 0.660 0.075
Pb: 0.340 0.165 0.925
Pb: 0.660 0.835 0.075
Tl: 0.853 0.539 0.414
Tl: 0.208 0.208 0.377
Tl: 0.539 0.194 0.414
Tl: 0.461 0.806 0.586
Tl: 0.792 0.792 0.623
Tl: 0.147 0.461 0.586
Tl: 0.806 0.147 0.586
Tl: 0.194 0.853 0.414
Ba: 0.000 0.000 0.000

As for the space-group type: R-3. The density of states at the Fermi level comes out at 6.64 states/eV/f.u. The calculated total energy is -2.909 eV/atom.



# 4
Density functional theory data (PBE) for a relaxed SiPRh crystal.

Cell: 4.026 4.026 4.026 Å, 60.00 60.00 60.00°
Atoms (fractional coordinates):
P: 0.500 0.500 0.500
Rh: 0.750 0.750 0.750
Si: 0.000 0.000 0.000

As for the space-group type: F-43m. The density of states at the Fermi level comes out at 1.51 states/eV/f.u. The formation energy without anion corrections is -348 meV/atom.



# 5
Density functional theory data (PBE) for a relaxed Nd2Y3In2 crystal.

Cell: 5.479 5.475 8.754 Å, 108.25 90.00 120.03°
Atoms (fractional coordinates):
Y: 0.500 0.000 0.000
Y: 0.348 0.695 0.543
Y: 0.652 0.305 0.457
Nd: 0.922 0.843 0.265
Nd: 0.078 0.157 0.735
In: 0.218 0.436 0.155
In: 0.782 0.564 0.845

As for the space-group type: C2/m. The density of states at the Fermi level comes out at 6.31 states/eV/f.u. The calculated total energy is -5.194 eV/atom.



# 6
Density functional theory data (PBE) for a relaxed Ta3Cu3C crystal.

Cell: 8.173 8.173 8.173 Å, 60.00 60.00 60.00°
Atoms (fractional coordinates):
Cu: 0.746 0.418 0.418
Cu: 0.832 0.832 0.504
Cu: 0.125 0.625 0.625
Cu: 0.418 0.418 0.746
Cu: 0.625 0.125 0.625
Cu: 0.418 0.746 0.418
Cu: 0.418 0.418 0.418
Cu: 0.832 0.504 0.832
Cu: 0.504 0.832 0.832
Cu: 0.625 0.625 0.625
Cu: 0.832 0.832 0.832
Cu: 0.625 0.625 0.125
Ta: 0.067 0.433 0.067
Ta: 0.183 0.817 0.817
Ta: 0.433 0.067 0.067
Ta: 0.817 0.817 0.183
Ta: 0.433 0.433 0.067
Ta: 0.183 0.817 0.183
Ta: 0.183 0.183 0.817
Ta: 0.067 0.067 0.433
Ta: 0.433 0.067 0.433
Ta: 0.817 0.183 0.817
Ta: 0.067 0.433 0.433
Ta: 0.817 0.183 0.183
C: 0.125 0.125 0.625
C: 0.625 0.125 0.125
C: 0.125 0.625 0.125
C: 0.125 0.125 0.125

As for the space-group type: Fd-3m. The density of states at the Fermi level comes out at 4.00 states/eV/f.u. The calculated total energy is -8.363 eV/atom.